# 1
Tl3Si (PBE-GGA, optimized geometry); distance to the lowest polymorph of the same formula = 67.1 meV/atom; space group = Pmm2, No. 25
1.0
3.373 0.000 0.000
0.000 5.222 0.000
0.000 0.000 6.235
Tl Si
3 1
Direct
0.000 0.000 0.000
0.000 0.500 0.318
0.500 0.500 0.782
0.500 0.000 0.527

***

# 2
TlSi (PBE-GGA, optimized geometry); E = -21.46 eV per cell; space group = Cm, No. 8
1.0
6.431 -1.753 0.000
6.431 1.753 0.000
-2.473 0.000 6.755
Tl Si
3 3
Direct
0.000 0.000 0.000
0.006 0.006 0.532
0.716 0.716 0.416
0.281 0.281 0.814
0.338 0.338 0.175
0.707 0.707 0.968

***

# 3
Tl3Si (PBE-GGA, optimized geometry); distance to the lowest polymorph of the same formula = 44.4 meV/atom; space group = R-3m, No. 166
1.0
1.746 1.008 10.428
-1.746 1.008 10.428
0.000 -2.016 10.428
Tl Si
3 1
Direct
0.000 0.000 0.000
0.239 0.239 0.239
0.761 0.761 0.761
0.500 0.500 0.500

***

# 4
TlSi (PBE-GGA, optimized geometry); E = -41.49 eV per cell; space group = P6_3/m, No. 176
1.0
10.540 0.000 0.000
-5.270 9.128 0.000
0.000 0.000 3.778
Tl Si
6 6
Direct
0.124 0.808 0.250
0.192 0.316 0.250
0.316 0.124 0.750
0.684 0.876 0.250
0.808 0.684 0.750
0.876 0.192 0.750
0.063 0.498 0.250
0.435 0.937 0.250
0.498 0.435 0.750
0.502 0.565 0.250
0.565 0.063 0.750
0.937 0.502 0.750

***

# 5
TlSi2 (PBE-GGA, optimized geometry); distance to the lowest polymorph of the same formula = 298.4 meV/atom; space group = Fd-3m, No. 227
1.0
0.000 3.935 3.935
3.935 0.000 3.935
3.935 3.935 0.000
Tl Si
2 4
Direct
0.125 0.125 0.125
0.875 0.875 0.875
0.000 0.500 0.500
0.500 0.000 0.500
0.500 0.500 0.000
0.500 0.500 0.500

***

# 6
Tl3Si (PBE-GGA, optimized geometry); distance to the lowest polymorph of the same formula = 20.9 meV/atom; space group = P-6m2, No. 187
1.0
3.501 0.000 0.000
-1.750 3.032 0.000
0.000 0.000 10.539
Tl Si
3 1
Direct
0.000 0.000 0.000
0.667 0.333 0.286
0.667 0.333 0.714
0.000 0.000 0.500

***

# 7
Tl2Si (PBE-GGA, optimized geometry); distance to the lowest polymorph of the same formula = 231.8 meV/atom; space group = P6_3/mmc, No. 194
1.0
5.085 0.000 0.000
-2.543 4.404 0.000
0.000 0.000 6.994
Tl Si
4 2
Direct
0.000 0.000 0.000
0.000 0.000 0.500
0.333 0.667 0.250
0.667 0.333 0.750
0.333 0.667 0.750
0.667 0.333 0.250

***

# 8
TlSi (PBE-GGA, optimized geometry); E = -14.93 eV per cell; space group = P-3m1, No. 164
1.0
3.780 0.000 0.000
-1.890 3.273 0.000
0.000 0.000 8.501
Tl Si
2 2
Direct
0.333 0.667 0.173
0.667 0.333 0.827
0.333 0.667 0.553
0.667 0.333 0.447

***

# 9
TlSi2 (PBE-GGA, optimized geometry); distance to the lowest polymorph of the same formula = 285.5 meV/atom; space group = P6_3/mmc, No. 194
1.0
4.703 0.000 0.000
-2.352 4.073 0.000
0.000 0.000 6.553
Tl Si
2 4
Direct
0.000 0.000 0.250
0.000 0.000 0.750
0.333 0.667 0.054
0.333 0.667 0.446
0.667 0.333 0.554
0.667 0.333 0.946

***

# 10
Tl2Si (PBE-GGA, optimized geometry); distance to the lowest polymorph of the same formula = 245.8 meV/atom; space group = Cmcm, No. 63
1.0
1.897 -7.310 0.000
1.897 7.310 0.000
0.000 0.000 5.704
Tl Si
4 2
Direct
0.051 0.949 0.750
0.268 0.732 0.250
0.732 0.268 0.750
0.949 0.051 0.250
0.382 0.618 0.750
0.618 0.382 0.250

***

# 11
Tl2Si (PBE-GGA, optimized geometry); distance to the lowest polymorph of the same formula = 562.1 meV/atom; space group = Fd-3m, No. 227
1.0
0.000 4.421 4.421
4.421 0.000 4.421
4.421 4.421 0.000
Tl Si
4 2
Direct
0.000 0.000 0.000
0.000 0.000 0.500
0.000 0.500 0.000
0.500 0.000 0.000
0.375 0.375 0.375
0.625 0.625 0.625

***

# 12
TlSi (PBE-GGA, optimized geometry); E = -21.41 eV per cell; space group = Imm2, No. 44
1.0
-1.798 5.761 3.788
1.798 -5.761 3.788
1.798 5.761 -3.788
Tl Si
3 3
Direct
0.000 0.000 0.000
0.515 0.198 0.317
0.880 0.198 0.683
0.196 0.802 0.393
0.409 0.802 0.607
0.465 0.465 0.000

***

# 13
TlSi (PBE-GGA, optimized geometry); E = -6.48 eV per cell; space group = R-3m, No. 166
1.0
1.601 0.924 5.275
-1.601 0.924 5.275
0.000 -1.848 5.275
Tl Si
1 1
Direct
0.000 0.000 0.000
0.500 0.500 0.500

***

# 14
TmTlSi (PBE-GGA, optimized geometry); E = -26.21 eV per cell; space group = R-3m, No. 166
1.0
1.858 1.073 12.282
-1.858 1.073 12.282
0.000 -2.145 12.282
Tm Tl Si
2 2 2
Direct
0.099 0.099 0.099
0.901 0.901 0.901
0.365 0.365 0.365
0.635 0.635 0.635
0.181 0.181 0.181
0.819 0.819 0.819

***

# 15
Tm5Tl2Si2 (PBE-GGA, optimized geometry); E = -85.52 eV per cell; space group = Cmce, No. 64
1.0
7.828 -3.773 0.000
7.828 3.773 0.000
0.000 0.000 7.563
Tm Tl Si
10 4 4
Direct
0.000 0.000 0.000
0.057 0.697 0.676
0.197 0.557 0.176
0.303 0.943 0.676
0.443 0.803 0.176
0.500 0.500 0.500
0.557 0.197 0.824
0.697 0.057 0.324
0.803 0.443 0.824
0.943 0.303 0.324
0.221 0.221 0.000
0.279 0.279 0.500
0.721 0.721 0.500
0.779 0.779 0.000
0.122 0.878 0.376
0.378 0.622 0.876
0.622 0.378 0.124
0.878 0.122 0.624

***

# 16
Tm6TlSi2 (PBE-GGA, optimized geometry); E = -89.09 eV per cell; space group = Immm, No. 71
1.0
-4.686 4.744 5.099
4.686 -4.744 5.099
4.686 4.744 -5.099
Tm Tl Si
12 2 4
Direct
0.037 0.242 0.795
0.185 0.278 0.463
0.185 0.722 0.908
0.321 0.024 0.703
0.321 0.617 0.297
0.447 0.242 0.205
0.553 0.758 0.795
0.679 0.383 0.703
0.679 0.976 0.297
0.815 0.278 0.092
0.815 0.722 0.537
0.963 0.758 0.205
0.000 0.000 0.000
0.500 0.500 0.000
0.117 0.617 0.500
0.367 0.000 0.367
0.633 0.000 0.633
0.883 0.383 0.500

***

# 17
TlV2Si2 (PBE-GGA, optimized geometry); E = -62.00 eV per cell; space group = P4/mbm, No. 127
1.0
7.085 0.000 0.000
0.000 7.085 0.000
0.000 0.000 3.160
Tl V Si
2 4 4
Direct
0.000 0.000 0.000
0.500 0.500 0.000
0.147 0.353 0.000
0.353 0.853 0.000
0.647 0.147 0.000
0.853 0.647 0.000
0.136 0.636 0.500
0.364 0.136 0.500
0.636 0.864 0.500
0.864 0.364 0.500

***

# 18
Tl3VSi (PBE-GGA, optimized geometry); distance to the lowest polymorph of the same formula = 36.9 meV/atom; space group = Pm-3m, No. 221
1.0
5.308 0.000 0.000
0.000 5.308 0.000
0.000 0.000 5.308
Tl V Si
3 1 1
Direct
0.000 0.000 0.500
0.000 0.500 0.000
0.500 0.000 0.000
0.500 0.500 0.500
0.000 0.000 0.000

***

# 19
TlVSi2 (PBE-GGA, optimized geometry); distance to the lowest polymorph of the same formula = 0.0 meV/atom; space group = I-42d, No. 122
1.0
-2.171 2.171 8.467
2.171 -2.171 8.467
2.171 2.171 -8.467
Tl V Si
2 2 4
Direct
0.000 0.000 0.000
0.750 0.250 0.500
0.250 0.750 0.500
0.500 0.500 0.000
0.242 0.625 0.117
0.375 0.492 0.617
0.508 0.125 0.883
0.875 0.758 0.383

***

# 20
TlVSi2 (PBE-GGA, optimized geometry); distance to the lowest polymorph of the same formula = 252.1 meV/atom; space group = Fm-3m, No. 225
1.0
0.000 3.339 3.339
3.339 0.000 3.339
3.339 3.339 0.000
Tl V Si
1 1 2
Direct
0.000 0.000 0.000
0.500 0.500 0.500
0.250 0.250 0.250
0.750 0.750 0.750

***

# 21
Tl3VSi (PBE-GGA, optimized geometry); distance to the lowest polymorph of the same formula = 0.0 meV/atom; space group = Pm-3m, No. 221
1.0
5.381 0.000 0.000
0.000 5.381 0.000
0.000 0.000 5.381
Tl V Si
3 1 1
Direct
0.000 0.000 0.500
0.000 0.500 0.000
0.500 0.000 0.000
0.000 0.000 0.000
0.500 0.500 0.500

***

# 22
Y2TlVSi (PBE-GGA, optimized geometry); E = -28.62 eV per cell; space group = P4/mmm, No. 123
1.0
5.212 0.000 0.000
0.000 5.212 0.000
0.000 0.000 4.742
Y Tl V Si
2 1 1 1
Direct
0.000 0.500 0.000
0.500 0.000 0.000
0.000 0.000 0.500
0.500 0.500 0.000
0.500 0.500 0.500

***

# 23
TlSi2W (PBE-GGA, optimized geometry); distance to the lowest polymorph of the same formula = 652.7 meV/atom; space group = I-4m2, No. 119
1.0
-1.969 1.969 4.472
1.969 -1.969 4.472
1.969 1.969 -4.472
Tl Si W
1 2 1
Direct
0.000 0.000 0.000
0.500 0.500 0.000
0.750 0.250 0.500
0.250 0.750 0.500

***

# 24
TlSiW3 (PBE-GGA, optimized geometry); distance to the lowest polymorph of the same formula = 2010.1 meV/atom; space group = Pm-3m, No. 221
1.0
4.949 0.000 0.000
0.000 4.949 0.000
0.000 0.000 4.949
Tl Si W
1 1 3
Direct
0.000 0.000 0.000
0.500 0.500 0.500
0.000 0.000 0.500
0.000 0.500 0.000
0.500 0.000 0.000

***

# 25
TlSi2W (PBE-GGA, optimized geometry); distance to the lowest polymorph of the same formula = 215.0 meV/atom; space group = P4mm, No. 99
1.0
3.327 0.000 0.000
0.000 3.327 0.000
0.000 0.000 6.713
Tl Si W
1 2 1
Direct
0.000 0.000 0.000
0.000 0.000 0.471
0.500 0.500 0.682
0.500 0.500 0.326

***

# 26
TlSiW3 (PBE-GGA, optimized geometry); distance to the lowest polymorph of the same formula = 0.0 meV/atom; space group = Pm-3m, No. 221
1.0
4.563 0.000 0.000
0.000 4.563 0.000
0.000 0.000 4.563
Tl Si W
1 1 3
Direct
0.000 0.000 0.000
0.500 0.500 0.500
0.000 0.500 0.500
0.500 0.000 0.500
0.500 0.500 0.000

***

Number 1: magnetization 0.00 μB per formula unit. Number 2: magnetization 0.00 μB per formula unit. Number 3: magnetization 0.00 μB per formula unit. Number 4: magnetization 0.00 μB per formula unit. Number 5: magnetization 0.00 μB per formula unit. Number 6: magnetization 0.00 μB per formula unit. Number 7: magnetization 0.00 μB per formula unit. Number 8: magnetization 0.00 μB per formula unit. Number 9: magnetization 0.00 μB per formula unit. Number 10: magnetization 0.00 μB per formula unit. Number 11: magnetization 0.00 μB per formula unit. Number 12: magnetization 0.00 μB per formula unit. Number 13: magnetization 0.00 μB per formula unit. Number 14: magnetization 0.00 μB per formula unit. Number 15: magnetization 0.00 μB per formula unit. Number 16: magnetization 0.00 μB per formula unit. Number 17: magnetization 0.00 μB per formula unit. Number 18: magnetization 3.89 μB per formula unit. Number 19: magnetization 1.41 μB per formula unit. Number 20: magnetization 3.15 μB per formula unit. Number 21: magnetization 2.11 μB per formula unit. Number 22: magnetization 0.00 μB per formula unit. Number 23: magnetization 0.48 μB per formula unit. Number 24: magnetization 0.00 μB per formula unit. Number 25: magnetization 0.00 μB per formula unit. Number 26: magnetization 0.00 μB per formula unit.